(1)
TbMg2AlAu4 | GGA-PBE | relaxed

SG	R-3m
magnetization	0.0	Bohr magnetons per cell
calculated total energy	-3.7030	eV per atom
formation enthalpy at 0 K	-619	meV/atom

Cell: 8.985 8.985 8.985 Å, 29.47 29.47 29.47°
Fractional coordinates of all 8 atoms:
Tb  0.000  0.000  0.000
Mg  0.243  0.243  0.243
Mg  0.757  0.757  0.757
Al  0.500  0.500  0.500
Au  0.131  0.131  0.131
Au  0.393  0.393  0.393
Au  0.607  0.607  0.607
Au  0.869  0.869  0.869

***

(2)
TbMgAl2Au4 | GGA-PBE | relaxed

SG	R-3m
magnetization	0.0	Bohr magnetons per cell
calculated total energy	-3.9576	eV per atom
formation enthalpy at 0 K	-605	meV/atom

Cell: 9.008 9.008 9.008 Å, 28.96 28.96 28.96°
Fractional coordinates of all 8 atoms:
Tb  0.000  0.000  0.000
Mg  0.500  0.500  0.500
Al  0.243  0.243  0.243
Al  0.757  0.757  0.757
Au  0.129  0.129  0.129
Au  0.393  0.393  0.393
Au  0.607  0.607  0.607
Au  0.871  0.871  0.871

***

(3)
ThMgAlAu2 | GGA-PBE | relaxed

SG	I-4m2
magnetization	0.0	Bohr magnetons per cell
calculated total energy	-4.4448	eV per atom
formation enthalpy at 0 K	-582	meV/atom

Cell: 6.763 6.763 6.763 Å, 143.65 143.65 52.36°
Fractional coordinates of all 5 atoms:
Th  0.000  0.000  0.000
Mg  0.250  0.750  0.500
Al  0.750  0.250  0.500
Au  0.386  0.386  0.000
Au  0.614  0.614  0.000

***

(4)
Th2MgAl4Au3 | GGA-PBE | relaxed

SG	P-4m2
magnetization	0.0	Bohr magnetons per cell
calculated total energy	-4.7299	eV per atom
formation enthalpy at 0 K	-606	meV/atom

Cell: 4.345 4.345 11.005 Å, 90.00 90.00 90.00°
Fractional coordinates of all 10 atoms:
Th  0.000  0.500  0.245
Th  0.500  0.000  0.755
Mg  0.000  0.000  0.500
Al  0.000  0.000  0.000
Al  0.000  0.500  0.644
Al  0.500  0.000  0.356
Al  0.500  0.500  0.000
Au  0.000  0.500  0.872
Au  0.500  0.000  0.128
Au  0.500  0.500  0.500

***

Please write out number 1 again, unchanged.
TbMg2AlAu4 | GGA-PBE | relaxed

SG	R-3m
magnetization	0.0	Bohr magnetons per cell
calculated total energy	-3.7030	eV per atom
formation enthalpy at 0 K	-619	meV/atom

Cell: 8.985 8.985 8.985 Å, 29.47 29.47 29.47°
Fractional coordinates of all 8 atoms:
Tb  0.000  0.000  0.000
Mg  0.243  0.243  0.243
Mg  0.757  0.757  0.757
Al  0.500  0.500  0.500
Au  0.131  0.131  0.131
Au  0.393  0.393  0.393
Au  0.607  0.607  0.607
Au  0.869  0.869  0.869

***

What is the formula in the third record? ThMgAlAu2

***

Which of these has the lowest calculated total energy? Th2MgAl4Au3